Record 1
Tl2TeF | the Alexandria database | PBE | relaxed; energy above the lowest structure with this stoichiometry = 176.3 meV per atom; crystal system = tetragonal; E_form (uncorrected) = -775 meV per atom; space group = I-42d (122)
1.0
-3.2103 3.2103 6.9835
3.2103 -3.2103 6.9835
3.2103 3.2103 -6.9835
Tl Te F
4 2 2
direct
0.0483 0.6250 0.9233
0.3750 0.2983 0.4233
0.7017 0.1250 0.0767
0.8750 0.9517 0.5767
0.2500 0.7500 0.5000
0.5000 0.5000 0.0000
0.0000 0.0000 0.0000
0.7500 0.2500 0.5000



Record 2
Mg3Br | the Alexandria database | PBE | relaxed; energy above the lowest structure with this stoichiometry = 161.5 meV per atom; crystal system = trigonal; E_form (uncorrected) = -158 meV per atom; space group = R-3m (166)
1.0
5.0427 2.9114 1.1237
-5.0427 2.9114 1.1237
0.0000 -5.8228 1.1237
Mg Br
3 1
direct
0.0000 0.5000 0.5000
0.5000 0.0000 0.5000
0.5000 0.5000 0.0000
0.0000 0.0000 0.0000



Record 3
Pr2ThTe5 | the Alexandria database | PBE | relaxed; energy above the lowest structure with this stoichiometry = 0.0 meV per atom; crystal system = orthorhombic; E_form (uncorrected) = -1290 meV per atom; space group = Pbam (55)
1.0
8.7651 0.0000 0.0000
0.0000 13.9061 0.0000
0.0000 0.0000 4.5073
Pr Th Te
4 2 10
direct
0.0269 0.1752 0.0000
0.4731 0.6752 0.0000
0.5269 0.3248 0.0000
0.9731 0.8248 0.0000
0.0000 0.5000 0.5000
0.5000 0.0000 0.5000
0.0000 0.0000 0.5000
0.1718 0.3931 0.0000
0.1822 0.6973 0.5000
0.3178 0.1973 0.5000
0.3282 0.8931 0.0000
0.5000 0.5000 0.5000
0.6718 0.1069 0.0000
0.6822 0.8027 0.5000
0.8178 0.3027 0.5000
0.8282 0.6069 0.0000



Record 4
RePdCl2 | the Alexandria database | PBE | relaxed; energy above the lowest structure with this stoichiometry = 495.2 meV per atom; crystal system = tetragonal; E_form (uncorrected) = 883 meV per atom; space group = I-42d (122)
1.0
-2.9148 2.9148 4.9222
2.9148 -2.9148 4.9222
2.9148 2.9148 -4.9222
Re Pd Cl
2 2 4
direct
0.0000 0.0000 0.0000
0.7500 0.2500 0.5000
0.2500 0.7500 0.5000
0.5000 0.5000 0.0000
0.0945 0.6250 0.9694
0.3750 0.3444 0.4694
0.6556 0.1250 0.0306
0.8750 0.9056 0.5306



Record 5
Ta5Nb2W2 | the Alexandria database | PBE | relaxed; crystal system = orthorhombic; space group = Cmce (64); ΔE_f = 46.2 kJ per mole of atoms
1.0
6.5338 -3.6478 0.0000
6.5338 3.6478 0.0000
0.0000 0.0000 7.1436
Ta Nb W
10 4 4
direct
0.0000 0.0000 0.0000
0.0783 0.6541 0.7160
0.1541 0.5783 0.2160
0.3459 0.9217 0.7160
0.4217 0.8459 0.2160
0.5000 0.5000 0.5000
0.5783 0.1541 0.7840
0.6541 0.0783 0.2840
0.8459 0.4217 0.7840
0.9217 0.3459 0.2840
0.2476 0.2476 0.5000
0.2524 0.2524 0.0000
0.7476 0.7476 0.0000
0.7524 0.7524 0.5000
0.1156 0.8844 0.3879
0.3844 0.6156 0.8879
0.6156 0.3844 0.1121
0.8844 0.1156 0.6121



Record 6
GdHfZnCu | the Alexandria database | PBE | relaxed; crystal system = cubic; space group = F-43m (216); ΔE_f = -10.4 kJ per mole of atoms
1.0
0.0000 3.4110 3.4110
3.4110 0.0000 3.4110
3.4110 3.4110 0.0000
Gd Hf Zn Cu
1 1 1 1
direct
0.0000 0.0000 0.0000
0.5000 0.5000 0.5000
0.2500 0.2500 0.2500
0.7500 0.7500 0.7500



Record 7
Pm5Ir4Pd | the Alexandria database | PBE | relaxed; crystal system = tetragonal; space group = P4/mmm (123); ΔE_f = -62.1 kJ per mole of atoms
1.0
3.5225 0.0000 0.0000
0.0000 3.5225 0.0000
0.0000 0.0000 17.8835
Pm Ir Pd
5 4 1
direct
0.0000 0.0000 0.0000
0.0000 0.0000 0.1978
0.0000 0.0000 0.3937
0.0000 0.0000 0.6063
0.0000 0.0000 0.8022
0.5000 0.5000 0.0994
0.5000 0.5000 0.2991
0.5000 0.5000 0.7009
0.5000 0.5000 0.9006
0.5000 0.5000 0.5000



Record 8
BaBeCo | the Alexandria database | PBE | relaxed; energy above the lowest structure with this stoichiometry = 519.7 meV per atom; crystal system = cubic; space group = F-43m (216); ΔE_f = 91.9 kJ per mole of atoms
1.0
0.0000 3.2826 3.2826
3.2826 0.0000 3.2826
3.2826 3.2826 0.0000
Ba Be Co
1 1 1
direct
0.0000 0.0000 0.0000
0.5000 0.5000 0.5000
0.7500 0.7500 0.7500



Record 9
SiRhBr2 | the Alexandria database | PBE | relaxed; energy above the lowest structure with this stoichiometry = 785.3 meV per atom; crystal system = tetragonal; E_form (uncorrected) = 596 meV per atom; space group = I-4m2 (119)
1.0
-1.9148 1.9148 5.6697
1.9148 -1.9148 5.6697
1.9148 1.9148 -5.6697
Si Rh Br
1 1 2
direct
0.0000 0.0000 0.0000
0.7500 0.2500 0.5000
0.2500 0.7500 0.5000
0.5000 0.5000 0.0000



Record 10
CsSnPb2 | the Alexandria database | PBE | relaxed; crystal system = trigonal; space group = R3m (160); ΔE_f = -4.9 kJ per mole of atoms
1.0
2.6629 1.5374 7.1588
-2.6629 1.5374 7.1588
0.0000 -3.0749 7.1588
Cs Sn Pb
1 1 2
direct
0.0000 0.0000 0.0000
0.8033 0.8033 0.8033
0.2055 0.2055 0.2055
0.4661 0.4661 0.4661



Record 11
LiBeSb2 | the Alexandria database | PBE | relaxed; crystal system = monoclinic; E_form (uncorrected) = 195 meV per atom; space group = C2/m (12)
1.0
3.2752 -3.9571 0.0000
3.2752 3.9571 0.0000
-0.6327 0.0000 3.1099
Li Be Sb
1 1 2
direct
0.0000 0.0000 0.0000
0.5000 0.5000 0.0000
0.0000 0.5000 0.5000
0.5000 0.0000 0.5000



Record 12
BaTlOs4 | the Alexandria database | PBE | relaxed; crystal system = cubic; space group = F-43m (216); ΔE_f = 89.9 kJ per mole of atoms
1.0
0.0000 3.8796 3.8796
3.8796 0.0000 3.8796
3.8796 3.8796 0.0000
Ba Tl Os
1 1 4
direct
0.0000 0.0000 0.0000
0.2500 0.2500 0.2500
0.1281 0.6240 0.6240
0.6240 0.1281 0.6240
0.6240 0.6240 0.1281
0.6240 0.6240 0.6240



Record 13
ZrInMo2 | the Alexandria database | PBE | relaxed; crystal system = tetragonal; space group = I-4m2 (119); ΔE_f = 14.1 kJ per mole of atoms
1.0
-2.2380 2.2380 3.6935
2.2380 -2.2380 3.6935
2.2380 2.2380 -3.6935
Zr In Mo
1 1 2
direct
0.0000 0.0000 0.0000
0.2500 0.7500 0.5000
0.5000 0.5000 0.0000
0.7500 0.2500 0.5000



| no. | magnetic moment (μB per formula unit) |
| --- | --- |
| 1 | 0.000 |
| 2 | 0.000 |
| 3 | 0.000 |
| 4 | 0.000 |
| 5 | 0.000 |
| 6 | 8.081 |
| 7 | 0.191 |
| 8 | 0.813 |
| 9 | 0.000 |
| 10 | 0.000 |
| 11 | 0.000 |
| 12 | 1.651 |
| 13 | 0.000 |